A plane-wave DFT calculation with PBEsol was carried out for a geometry-optimized ZnInAu2 structure.

Values from the calculation:
Calculated volume = 17.37 A^3/atom
Total moment = 0.00 Bohr magnetons per cell
Uncorrected energy = -3.2172 eV per atom
Energy relative to the elements = -0.114 eV/atom
Mass density = 13.719 Mg/m³

```
ZnInAu2
1.0
-2.192 -0.019 -2.840
-0.826 -4.271 0.666
-3.385 1.060 2.606
In Au Zn
1 2 1
direct
0.500 0.500 0.500
0.000 0.000 0.500
0.000 0.500 0.000
0.500 0.000 0.000
```